(1)
Zr2AlZn | PBE-GGA | optimized geometry

Properties
* formation energy: -111 meV per atom

Unit cell a=5.2566 b=5.2566 c=5.2307 alpha=101.36 beta=101.36 gamma=34.17
Last column: nearest neighbours and their distance in Å.
Fractional coordinates of all 4 atoms:
Zr 0.2490 0.2490 0.2489  3 Zn 3.00-3.07, 3 Al 3.02-3.06, 6 Zr 3.03-3.09
Zr 0.7510 0.7510 0.7511  3 Zn 3.00-3.07, 3 Al 3.02-3.06, 6 Zr 3.03-3.09
Al 0.0000 0.0000 0.5000  6 Zr 3.02-3.06, 4 Zn 3.04, 2 Al 3.09
Zn 0.5000 0.5000 0.0000  6 Zr 3.00-3.07, 4 Al 3.04, 2 Zn 3.09

(2)
CsMnSeN2 | PBE-GGA | optimized geometry

Properties
* formation energy (no corrections): 950 meV/atom
* offset from the most stable computed form: 0.000 eV/atom

Unit cell a=4.0015 b=4.0015 c=5.1290 alpha=90.00 beta=90.00 gamma=90.00
Last column: nearest neighbours and their distance in Å.
Fractional coordinates of all 5 atoms:
Cs 0.0000 0.0000 0.0000  4 Se 2.83
Mn 0.5000 0.5000 0.5000  4 N 2.00
Se 0.5000 0.5000 0.0000  2 Mn 2.56, 4 Cs 2.83
N 0.0000 0.5000 0.5000  2 Mn 2.00
N 0.5000 0.0000 0.5000  2 Mn 2.00

(3)
BiOs2Au | PBE-GGA | optimized geometry

Properties
* formation energy: 912 meV per atom
* offset from the most stable computed form: 0.000 eV/atom

Unit cell a=10.3062 b=10.3062 c=10.3062 alpha=156.91 beta=156.91 gamma=32.88
Last column: nearest neighbours and their distance in Å.
Fractional coordinates of all 8 atoms:
Bi 0.0000 0.0000 0.0000  4 Au 2.92, 4 Os 3.04
Bi 0.7500 0.2500 0.5000  4 Au 2.92, 4 Os 3.04
Os 0.2261 0.6250 0.1011  2 Os 2.40
Os 0.3750 0.4761 0.6011  2 Os 2.40
Os 0.5239 0.1250 0.8989  2 Os 2.40
Os 0.8750 0.7739 0.3989  2 Os 2.40
Au 0.2500 0.7500 0.5000  4 Os 2.75, 4 Bi 2.92
Au 0.5000 0.5000 0.0000  4 Os 2.75, 4 Bi 2.92